# 1
# Ac2B6C3 | Alexandria | PBE | relaxed
data_Ac2B6C3
_symmetry_space_group_name_H-M 'P -6 2 m'
_symmetry_Int_Tables_number 189
_symmetry_space_group_name_Hall 'P -6 -2'
_cell_length_a 6.7826
_cell_length_b 6.7826
_cell_length_c 3.0594
_cell_angle_alpha 90.00
_cell_angle_beta 90.00
_cell_angle_gamma 120.00
loop_
_atom_site_label
_atom_site_type_symbol
_atom_site_fract_x
_atom_site_fract_y
_atom_site_fract_z
_atom_site_occupancy
Ac1 Ac 0.3333 0.6667 0.0000 1
B1 B 0.0000 0.1502 0.0000 1
B2 B 0.0000 0.7566 0.5000 1
C1 C 0.0000 0.2495 0.5000 1
# **Raw total energy**: -6.4981 eV per atom
# **Mass density**: 7.56 g cm⁻³
# **DFT formation energy**: 406.7 meV/atom



# 2
# AcB2C | Alexandria | PBE | relaxed
data_AcB2C
_symmetry_space_group_name_H-M 'C 1 2/c 1'
_symmetry_Int_Tables_number 15
_symmetry_space_group_name_Hall '-C 2yc'
_cell_length_a 4.221
_cell_length_b 16.248
_cell_length_c 4.234
_cell_angle_alpha 90.00
_cell_angle_beta 106.10
_cell_angle_gamma 90.00
loop_
_atom_site_label
_atom_site_type_symbol
_atom_site_fract_x
_atom_site_fract_y
_atom_site_fract_z
_atom_site_occupancy
Ac1 Ac 0.000 0.123 0.250 1
B1 B 0.126 0.285 0.124 1
C1 C 0.000 0.250 0.750 1
# **Raw total energy**: -6.6988 eV per atom
# **Mass density**: 6.21 g cm⁻³
# **DFT formation energy**: -27.0 meV/atom
# **Energy above the most stable polymorph in this dataset**: 260.5 meV per atom



# 3
# Ac2Fe2BC2 | Alexandria | PBE | relaxed
data_Ac2Fe2BC2
_symmetry_space_group_name_H-M 'C 1 2/m 1'
_symmetry_Int_Tables_number 12
_symmetry_space_group_name_Hall '-C 2y'
_cell_length_a 10.391
_cell_length_b 3.666
_cell_length_c 6.976
_cell_angle_alpha 90.00
_cell_angle_beta 124.09
_cell_angle_gamma 90.00
loop_
_atom_site_label
_atom_site_type_symbol
_atom_site_fract_x
_atom_site_fract_y
_atom_site_fract_z
_atom_site_occupancy
Ac1 Ac 0.068 0.000 0.327 1
Fe1 Fe 0.205 0.500 0.077 1
B1 B 0.000 0.500 0.000 1
C1 C 0.219 0.500 0.810 1
# **Raw total energy**: -7.1372 eV per atom
# **Mass density**: 9.06 g cm⁻³
# **DFT formation energy**: 43.9 meV/atom



# 4
# AcNi2B2C | Alexandria | PBE | relaxed
data_AcNi2B2C
_symmetry_space_group_name_H-M 'I 4/m m m'
_symmetry_Int_Tables_number 139
_symmetry_space_group_name_Hall '-I 4 2'
_cell_length_a 3.894
_cell_length_b 3.894
_cell_length_c 9.822
_cell_angle_alpha 90.00
_cell_angle_beta 90.00
_cell_angle_gamma 90.00
loop_
_atom_site_label
_atom_site_type_symbol
_atom_site_fract_x
_atom_site_fract_y
_atom_site_fract_z
_atom_site_occupancy
Ac1 Ac 0.000 0.000 0.000 1
Ni1 Ni 0.000 0.500 0.250 1
B1 B 0.000 0.000 0.348 1
C1 C 0.000 0.000 0.500 1
# **Raw total energy**: -6.7055 eV per atom
# **Mass density**: 8.43 g cm⁻³
# **DFT formation energy**: -330.5 meV/atom